1.
This record from Alexandria describes an optimized crystal structure of Y3PuPt8. The functional is PBE-GGA.

Lattice parameters (Å, degrees): 5.4582 5.4582 8.8971 90.00 90.00 120.00
Space group P3m1 (No. 156)
Unique sites:
Y 0.0000 0.0000 0.0000 x1
Y 0.0000 0.0000 0.3711 x1
Y 0.3333 0.6667 0.8655 x1
Pu 0.3333 0.6667 0.4946 x1
Pt 0.0047 0.5023 0.1820 x3
Pt 0.3287 0.1643 0.6838 x3
Pt 0.6667 0.3333 0.4334 x1
Pt 0.6667 0.3333 0.9324 x1

Properties
Calculated density = 15.0 Mg/m³
Energy = -93.85 eV/cell



2.
This record from Alexandria describes an optimized crystal structure of YPuPt6. The functional is PBE-GGA.

Lattice parameters (Å, degrees): 4.138 4.138 8.288 90.00 90.00 90.00
Space group P4/mmm (No. 123)
Unique sites:
Y 0.000 0.000 0.000 x1
Pu 0.000 0.000 0.500 x1
Pt 0.000 0.500 0.251 x4
Pt 0.500 0.500 0.000 x1
Pt 0.500 0.500 0.500 x1

Properties
Calculated density = 17.6 Mg/m³
Energy = -63.87 eV/cell



3.
This record from Alexandria describes an optimized crystal structure of YPuPt2. The functional is PBE-GGA.

Lattice parameters (Å, degrees): 3.470 3.470 7.168 90.00 90.00 90.00
Space group P4/mmm (No. 123)
Unique sites:
Y 0.000 0.000 0.000 x1
Pu 0.000 0.000 0.500 x1
Pt 0.500 0.500 0.241 x2

Properties
Calculated density = 13.9 Mg/m³
Energy = -36.69 eV/cell



4.
This record from Alexandria describes an optimized crystal structure of YPuPt2. The functional is PBE-GGA.

Lattice parameters (Å, degrees): 4.376 3.822 10.806 90.00 90.00 90.00
Space group Amm2 (No. 38)
Unique sites:
Y 0.000 0.000 0.000 x2
Pu 0.500 0.000 0.722 x2
Pt 0.000 0.000 0.270 x2
Pt 0.500 0.000 0.449 x2

Properties
Calculated density = 13.3 Mg/m³
Energy = -73.92 eV/cell



5.
This record from Alexandria describes an optimized crystal structure of YPuZnPt. The functional is PBE-GGA.

Lattice parameters (Å, degrees): 7.083 7.083 7.083 90.00 90.00 90.00
Space group F-43m (No. 216)
Unique sites:
Y 0.000 0.000 0.000 x4
Pu 0.000 0.000 0.500 x4
Zn 0.250 0.250 0.750 x4
Pt 0.250 0.250 0.250 x4

Properties
Calculated density = 11.1 Mg/m³
Energy = -121.40 eV/cell



6.
This record from Alexandria describes an optimized crystal structure of Pu2ZnPt2. The functional is PBE-GGA.

Lattice parameters (Å, degrees): 4.7286 4.7286 15.2357 90.00 90.00 120.00
Space group R-3m (No. 166, hexagonal axes)
Unique sites:
Pu 0.0000 0.0000 0.2114 x6
Zn 0.0000 0.0000 0.0000 x3
Pt 0.0000 0.0000 0.3988 x6

Properties
Calculated density = 15.9 Mg/m³
Energy = -134.51 eV/cell



7.
This record from Alexandria describes an optimized crystal structure of Pu3ZnPt8. The functional is PBE-GGA.

Lattice parameters (Å, degrees): 5.4183 5.4183 26.4383 90.00 90.00 120.00
Space group R3m (No. 160, hexagonal axes)
Unique sites:
Pu 0.0000 0.0000 0.0000 x3
Pu 0.0000 0.0000 0.1275 x3
Pu 0.0000 0.0000 0.5093 x3
Zn 0.0000 0.0000 0.6370 x3
Pt 0.0000 0.0000 0.3157 x3
Pt 0.0000 0.0000 0.8162 x3
Pt 0.9997 0.4998 0.0659 x9
Pt 0.1673 0.3346 0.8998 x9

Properties
Calculated density = 17.5 Mg/m³
Energy = -304.07 eV/cell



8.
This record from Alexandria describes an optimized crystal structure of Pu2Zn3Pt2. The functional is PBE-GGA.

Lattice parameters (Å, degrees): 9.922 4.259 6.976 90.00 111.97 90.00
Space group C2/m (No. 12)
Unique sites:
Pu 0.142 0.000 0.271 x4
Zn 0.000 0.500 0.500 x2
Zn 0.122 0.500 0.936 x4
Pt 0.147 0.000 0.708 x4

Properties
Calculated density = 13.1 Mg/m³
Energy = -96.70 eV/cell



D(E_F), respectively: 1.447 1.992 3.000 3.099 2.043 2.522 2.857 3.034 states/eV/atom.